Record 1
The following is a PBE calculation of a relaxed HfSc2Ga crystal, from the Alexandria database.

Results
- magnetization (μB per formula unit) = 0.2
- uncorrected energy (Ry per atom) = -0.4894

Geometry as extended XYZ:
```
8
Lattice="-2.0688 -2.5987 -0.2478 2.2449 -2.0699 2.9667 0.2064 13.8568 9.5126" Properties=species:S:1:pos:R:3 pbc="T T T"
Hf 1.8082 11.3609 11.1411
Hf -1.4257 -2.1727 1.0904
Sc 1.7853 7.3788 8.3799
Sc -0.2072 -1.2725 3.8512
Sc -1.4028 1.8094 3.8515
Sc 0.5897 10.4607 8.3803
Ga 0.1679 2.4703 6.1789
Ga 0.2145 6.7179 6.0526
```

Record 2
The following is a PBE calculation of a relaxed Hf2ScGa3 crystal, from the Alexandria database.

Results
- polymorph energy (0 for the lowest one) (eV/atom) = 0.000
- magnetization (μB per formula unit) = 0.0
- uncorrected energy (Ry per atom) = -0.4717

Geometry as extended XYZ:
```
24
Lattice="3.9319 0.0000 0.0000 0.0000 3.8289 0.0000 1.9659 1.9144 30.5046" Properties=species:S:1:pos:R:3 pbc="T T T"
Hf 3.9319 3.8289 16.3081
Hf 1.9659 1.9144 26.4576
Hf 3.9319 1.9144 1.1307
Hf 1.9659 3.8289 11.3218
Hf 3.9319 1.9144 21.4824
Hf 3.9319 3.8289 3.9314
Hf 1.9659 1.9144 14.1815
Hf 3.9319 3.8289 24.3293
Sc 3.9319 1.9144 9.1313
Sc 1.9659 3.8289 19.2613
Sc 3.9319 1.9144 29.4149
Sc 1.9659 1.9144 6.1236
Ga 1.9659 3.8289 1.6736
Ga 3.9319 1.9144 11.8907
Ga 1.9659 3.8289 22.0336
Ga 1.9659 1.9144 3.3704
Ga 3.9319 3.8289 13.5635
Ga 1.9659 1.9144 23.7120
Ga 1.9659 3.8289 8.4631
Ga 3.9319 1.9144 18.6225
Ga 1.9659 3.8289 28.7703
Ga 3.9319 3.8289 6.7962
Ga 1.9659 1.9144 16.9682
Ga 3.9319 3.8289 27.1174
```

Record 3
The following is a PBE calculation of a relaxed HfSc2Ga crystal, from the Alexandria database.

Results
- magnetization (μB per formula unit) = 0.0
- uncorrected energy (Ry per atom) = -0.4862

Geometry as extended XYZ:
```
4
Lattice="3.2392 0.0000 0.0000 1.6196 2.8053 0.0000 1.6196 0.9351 9.6176" Properties=species:S:1:pos:R:3 pbc="T T T"
Hf 3.2392 1.8702 4.8051
Sc 1.6196 0.9351 7.3573
Sc 1.6196 0.9351 2.2579
Ga 3.2392 1.8702 0.0060
```

Record 4
The following is a PBE calculation of a relaxed Hf2Sc3Ga2 crystal, from the Alexandria database.

Results
- magnetization (μB per formula unit) = 0.5
- uncorrected energy (Ry per atom) = -0.4829

Geometry as extended XYZ:
```
7
Lattice="4.1618 0.0000 0.5523 0.0000 3.0811 0.0000 0.5956 0.0000 11.4680" Properties=species:S:1:pos:R:3 pbc="T T T"
Hf 3.2934 1.5405 7.0961
Hf 1.4641 1.5405 4.9242
Sc 3.7572 0.0000 3.6015
Sc 0.0000 0.0000 0.0000
Sc 1.0003 0.0000 8.4188
Ga 2.8931 1.5405 10.1124
Ga 1.8644 1.5405 1.9079
```

| no. | V (A^3/atom) | E_form (eV/atom) |
| --- | --- | --- |
| 1 | 21.48 | -0.248 |
| 2 | 19.13 | -0.531 |
| 3 | 21.85 | -0.204 |
| 4 | 20.86 | -0.147 |